(1)
## TbO2F3 (GGA-PBE)

Data for a geometry-optimized TbO2F3 structure.

Lattice parameters (Å, degrees): 4.4032 7.1170 8.4663 103.81 105.07 90.00
Closest atoms and distances in Å follow each position.
Sites, in units of the cell vectors:
1 F 0.0925 0.5481 0.1680  2 Tb 2.22
2 F 0.4999 0.2500 0.0000  2 Tb 2.20
3 O 0.1418 0.5141 0.5363  1 O 1.23
4 O 0.3946 0.0141 0.5363  1 O 1.23
5 F 0.9245 0.9519 0.8320  2 Tb 2.22
6 Tb 0.9999 0.2500 0.0000  6 F 2.20-2.22
7 F 0.0755 0.0481 0.1680  2 Tb 2.22
8 Tb 0.0001 0.7500 0.0000  6 F 2.20-2.22
9 F 0.9075 0.4519 0.8320  2 Tb 2.22
10 O 0.8582 0.4859 0.4637  1 O 1.23
11 F 0.5001 0.7500 0.0000  2 Tb 2.20
12 O 0.6054 0.9859 0.4637  1 O 1.23

Calculated values
Calculated volume in Å³/cell: 248.2
Uncorrected formation energy in eV per atom: -2.667


(2)
## TbOF (GGA-PBE)

Data for a geometry-optimized TbOF structure.

Lattice parameters (Å, degrees): 3.3080 3.3082 5.5128 89.88 53.28 89.99
Closest atoms and distances in Å follow each position.
Sites, in units of the cell vectors:
1 F 0.5542 0.4557 0.0369  2 Tb 2.21
2 Tb 0.0523 0.4554 0.5369  2 F 2.21, 4 O 2.34
3 O 0.5527 0.9555 0.5369  4 Tb 2.34

Calculated values
Calculated volume in Å³/cell: 48.4
Uncorrected formation energy in eV per atom: -3.626


(3)
## TbOF3 (GGA-PBE)

Data for a geometry-optimized TbOF3 structure.

Lattice parameters (Å, degrees): 7.2324 5.9345 7.1574 97.98 90.00 90.00
Closest atoms and distances in Å follow each position.
Sites, in units of the cell vectors:
1 O 0.7487 0.9174 0.2873  2 F 2.24
2 F 0.0505 0.6897 0.4491  1 O 2.24, 2 Tb 2.28-2.29
3 Tb 0.7499 0.0869 0.9822  6 F 2.20-2.29
4 O 0.2513 0.0826 0.7127  2 F 2.24
5 F 0.4494 0.6880 0.4465  1 O 2.24, 2 Tb 2.28-2.29
6 F 0.5506 0.3120 0.5535  1 O 2.24, 2 Tb 2.28-2.29
7 F 0.7489 0.8905 0.6986  2 Tb 2.20-2.21
8 O 0.2487 0.5826 0.2127  2 F 2.24
9 F 0.5505 0.8103 0.0509  1 O 2.24, 2 Tb 2.28-2.29
10 F 0.4495 0.1897 0.9491  1 O 2.24, 2 Tb 2.28-2.29
11 F 0.2489 0.6095 0.8014  2 Tb 2.20-2.21
12 Tb 0.2501 0.9131 0.0178  6 F 2.20-2.29
13 F 0.9495 0.3103 0.5509  1 O 2.24, 2 Tb 2.28-2.29
14 Tb 0.2499 0.4131 0.5178  6 F 2.20-2.29
15 F 0.9494 0.8120 0.0535  1 O 2.24, 2 Tb 2.28-2.29
16 F 0.0506 0.1880 0.9465  1 O 2.24, 2 Tb 2.28-2.29
17 F 0.7511 0.3905 0.1986  2 Tb 2.20-2.21
18 F 0.2511 0.1095 0.3014  2 Tb 2.20-2.21
19 O 0.7513 0.4174 0.7873  2 F 2.24
20 Tb 0.7501 0.5869 0.4822  6 F 2.20-2.29

Calculated values
Calculated volume in Å³/cell: 304.2
Uncorrected formation energy in eV per atom: -2.705


(4)
## Tb2O2F (GGA-PBE)

Data for a geometry-optimized Tb2O2F structure.

Lattice parameters (Å, degrees): 4.5139 6.1922 7.2794 65.59 71.94 68.62
Closest atoms and distances in Å follow each position.
Sites, in units of the cell vectors:
1 Tb 0.5473 0.6843 0.2210  4 O 2.31-2.47, 2 F 2.31
2 O 0.9806 0.3323 0.7066  4 Tb 2.29-2.34
3 F 0.6189 0.8919 0.8703  3 Tb 2.31, 1 F 2.51
4 O 0.0194 0.6677 0.2934  4 Tb 2.29-2.34
5 Tb 0.8241 0.7628 0.5889  4 O 2.28-2.34, 1 F 2.31
6 F 0.3811 0.1081 0.1297  3 Tb 2.31, 1 F 2.51
7 Tb 0.4527 0.3157 0.7790  4 O 2.31-2.47, 2 F 2.31
8 Tb 0.1759 0.2372 0.4111  4 O 2.28-2.34, 1 F 2.31
9 O 0.3532 0.7480 0.5456  4 Tb 2.28-2.47
10 O 0.6468 0.2520 0.4544  4 Tb 2.28-2.47

Calculated values
Calculated volume in Å³/cell: 169.5
Uncorrected formation energy in eV per atom: -3.295


(5)
## TbTcO4F (GGA-PBE)

Data for a geometry-optimized TbTcO4F structure.

Lattice parameters (Å, degrees): 6.0186 6.0186 6.9562 77.30 77.30 73.59
Closest atoms and distances in Å follow each position.
Sites, in units of the cell vectors:
1 O 0.4751 0.1110 0.1505  1 Tc 1.83
2 O 0.1110 0.4751 0.1505  1 Tc 1.83
3 O 0.5249 0.8890 0.8495  1 Tc 1.83
4 Tb 0.8002 0.8002 0.0908  2 F 2.21-2.26, 4 O 2.33-2.46
5 F 0.9896 0.9896 0.8252  2 Tb 2.21-2.26
6 O 0.2513 0.2513 0.5428  1 Tc 1.74
7 F 0.0104 0.0104 0.1748  2 Tb 2.21-2.26
8 O 0.7487 0.7487 0.4572  1 Tc 1.74
9 Tc 0.6469 0.6469 0.7065  4 O 1.74-1.83
10 O 0.8890 0.5249 0.8495  1 Tc 1.83
11 O 0.5414 0.5414 0.2358  1 Tc 1.75
12 Tb 0.1998 0.1998 0.9092  2 F 2.21-2.26, 4 O 2.33-2.46
13 O 0.4586 0.4586 0.7642  1 Tc 1.75
14 Tc 0.3531 0.3531 0.2935  4 O 1.74-1.83

Calculated values
Calculated volume in Å³/cell: 232.4
Uncorrected formation energy in eV per atom: -2.406


(6)
## TbTeO4F (GGA-PBE)

Data for a geometry-optimized TbTeO4F structure.

Lattice parameters (Å, degrees): 5.9853 5.9853 7.0450 77.26 77.26 75.79
Closest atoms and distances in Å follow each position.
Sites, in units of the cell vectors:
1 Tb 0.7978 0.7978 0.1114  2 F 2.21-2.25, 4 O 2.33-2.39
2 Te 0.3488 0.3488 0.2913  4 O 1.82-1.86
3 O 0.5115 0.8808 0.8619  1 Te 1.86
4 O 0.5455 0.5455 0.2724  1 Te 1.83
5 O 0.4885 0.1192 0.1381  1 Te 1.86
6 O 0.1192 0.4885 0.1381  1 Te 1.86
7 F 0.9789 0.9789 0.8328  2 Tb 2.21-2.25
8 O 0.2256 0.2256 0.5415  1 Te 1.82
9 O 0.8808 0.5115 0.8619  1 Te 1.86
10 O 0.7744 0.7744 0.4585  1 Te 1.82
11 O 0.4545 0.4545 0.7276  1 Te 1.83
12 Te 0.6512 0.6512 0.7087  4 O 1.82-1.86
13 Tb 0.2022 0.2022 0.8886  2 F 2.21-2.25, 4 O 2.33-2.39
14 F 0.0211 0.0211 0.1672  2 Tb 2.21-2.25

Calculated values
Calculated volume in Å³/cell: 234.9
Uncorrected formation energy in eV per atom: -2.107


Question: Which value of calculated volume does entry 4 give?
Answer: 169.5 Å³/cell


Question: Which formula does entry 2 have?
Answer: TbOF


Question: What is the uncorrected formation energy in the fourth record?
Answer: -3.295 eV per atom